Record 1
{"formula": "TiBe9Co2", "functional": "PBE", "state": "optimized geometry", "spacegroup": "R-3m, No. 166", "lattice_angstrom": [[-1.300, 0.950, 3.923], [-4.132, 0.524, 0.795], [-2.374, -6.078, 2.976]], "species": ["Be", "Be", "Be", "Be", "Be", "Be", "Be", "Be", "Be", "Co", "Co", "Ti"], "frac_coords": [[0.409, 0.918, 0.263], [0.333, 0.333, 0.001], [0.409, 0.409, 0.263], [0.082, 0.591, 0.737], [0.591, 0.591, 0.737], [0.667, 0.667, 0.999], [0.918, 0.409, 0.263], [0.591, 0.082, 0.737], [0.500, 0.500, 0.500], [0.859, 0.859, 0.423], [0.141, 0.141, 0.577], [0.000, 0.000, 0.000]]}

Record 2
{"formula": "TiBe2Co2", "functional": "PBE", "state": "optimized geometry", "relative_energy_ev_per_fu": 1.368, "spacegroup": "I4/mmm, No. 139", "lattice_angstrom": [[3.474, 0.000, 0.000], [0.000, 3.474, 0.000], [1.737, 1.737, 4.598]], "species": ["Be", "Be", "Co", "Co", "Ti"], "frac_coords": [[0.250, 0.750, 0.500], [0.750, 0.250, 0.500], [0.619, 0.619, 0.762], [0.381, 0.381, 0.238], [0.000, 0.000, 0.000]]}

Record 3
{"formula": "TiBe2Co2", "functional": "PBE", "state": "optimized geometry", "relative_energy_ev_per_fu": 0.178, "spacegroup": "C2/m, No. 12", "lattice_angstrom": [[3.617, 0.000, 1.093], [1.441, 3.425, 1.765], [-0.656, 1.110, 8.707]], "species": ["Co", "Co", "Co", "Co", "Be", "Be", "Be", "Be", "Ti", "Ti"], "frac_coords": [[0.075, 0.712, 0.637], [0.575, 0.212, 0.137], [0.425, 0.788, 0.863], [0.925, 0.288, 0.363], [0.122, 0.320, 0.935], [0.878, 0.680, 0.065], [0.378, 0.180, 0.565], [0.622, 0.820, 0.435], [0.750, 0.250, 0.750], [0.250, 0.750, 0.250]]}

Listing calculated volume for the structures above in their given order: 105.0, 55.5, 52.5 Å³/f.u..
Listing calculated total energy for the structures above in their given order: -58.419, -29.774, -30.963 eV/f.u..
Listing DOS at the Fermi energy for the structures above in their given order: 6.29, 4.41, 3.48 states/eV/f.u..